Compound: AlAgC
Source: Alexandria
Functional: PBE
Structure: relaxed

Properties
SG   P-1, No. 2
DFT total energy   -4.973 eV/atom
Formation energy from the elements   299 meV/atom
DOS(E_F)   1.6 states/eV/cell

Geometry as extended XYZ:
```
6
Lattice="2.696 0.000 0.000 0.024 2.991 0.000 0.017 1.365 9.920" Properties=species:S:1:pos:R:3 pbc="T T T"
Al 0.682 0.689 3.102
Al 2.055 3.667 6.818
Ag 0.694 2.122 8.795
Ag 2.043 2.235 1.126
C 0.694 2.166 4.616
C 2.043 2.191 5.304
```